Entry 1:
First-principles (GGA-PBE) data for crystalline ZnIn2Pb at its relaxed geometry, as listed in the Alexandria database.

Values from the calculation:
Crystal system: orthorhombic
E_tot (eV/atom): -2.5050
Density of states at the Fermi level (states/eV/cell): 1.33

a b c (Å): 3.5174 5.3426 5.5655
angles (deg): 90.00 90.00 90.00
Element x y z (fractional)
In: 0.0000 0.0000 0.0000
Pb: 0.5000 0.0000 0.5000
Zn: 0.0000 0.5000 0.5000
In: 0.5000 0.5000 0.0000

Entry 2:
First-principles (GGA-PBE) data for crystalline Zn4InPb at its relaxed geometry, as listed in the Alexandria database.

Values from the calculation:
Crystal system: cubic
E_tot (eV/atom): -1.8119
Density of states at the Fermi level (states/eV/cell): 4.02

a b c (Å): 5.5507 5.5507 5.5507
angles (deg): 60.00 60.00 60.00
Element x y z (fractional)
Pb: 0.0000 0.0000 0.0000
Zn: 0.6250 0.1251 0.6250
Zn: 0.6250 0.6250 0.6250
Zn: 0.1251 0.6250 0.6250
Zn: 0.6250 0.6250 0.1251
In: 0.2500 0.2500 0.2500

Entry 3:
First-principles (GGA-PBE) data for crystalline ZrIn2Pb at its relaxed geometry, as listed in the Alexandria database.

Values from the calculation:
Crystal system: monoclinic
E_tot (eV/atom): -4.5174
Density of states at the Fermi level (states/eV/cell): 2.28

a b c (Å): 6.0826 6.0826 5.5952
angles (deg): 65.33 65.33 32.08
Element x y z (fractional)
In: 0.9891 0.9891 0.9287
Pb: 0.5113 0.5113 0.4098
Zr: 0.2558 0.2558 0.3384
In: 0.7438 0.7438 0.8230

Entry 4:
First-principles (GGA-PBE) data for crystalline Zr2InPb at its relaxed geometry, as listed in the Alexandria database.

Values from the calculation:
Crystal system: tetragonal
E_tot (eV/atom): -5.9931
Density of states at the Fermi level (states/eV/cell): 4.56

a b c (Å): 3.9488 3.9468 6.1954
angles (deg): 90.00 90.00 90.00
Element x y z (fractional)
In: 0.0000 0.0000 0.4889
Zr: 0.0000 0.0000 0.0124
Zr: 0.5000 0.5000 0.2436
Pb: 0.5000 0.5000 0.7551